{"formula": "Nd2Ga", "functional": "PBE", "state": "relaxed", "e_tot_ha_per_atom": -0.16259, "lattice_angstrom": [[7.226, 0.000, 0.000], [0.000, 7.226, 0.000], [0.000, 0.000, 7.226]], "species": ["Nd", "Nd", "Nd", "Nd", "Nd", "Nd", "Nd", "Nd", "Ga", "Ga", "Ga", "Ga"], "frac_coords": [[0.250, 0.250, 0.250], [0.250, 0.250, 0.750], [0.250, 0.750, 0.250], [0.250, 0.750, 0.750], [0.750, 0.250, 0.250], [0.750, 0.250, 0.750], [0.750, 0.750, 0.250], [0.750, 0.750, 0.750], [0.000, 0.000, 0.000], [0.000, 0.500, 0.500], [0.500, 0.000, 0.500], [0.500, 0.500, 0.000]]}